Entry 1:
The following is a DFT calculation (PBE) of EuMg after structural relaxation.

Summary:
Density ... 4.5 Mg/m³
Relative energy among the computed polymorphs ... 0 meV per atom
Total magnetization ... 7.302 μB per formula unit
Crystal system ... cubic
SG ... Pm-3m

a b c (Å): 4.022 4.022 4.022
angles (deg): 90.00 90.00 90.00
Site moments in Bohr magnetons follow the coordinates.
Positions (direct):
Eu (0.500, 0.500, 0.500)  6.91
Mg (0.000, 0.000, 0.000)  0.00



Entry 2:
The following is a DFT calculation (PBE) of YEr2PuN4 after structural relaxation.

Summary:
Density ... 10.3 Mg/m³
E_form (uncorrected) ... -1.6112 eV/atom
Total magnetization ... 4.731 μB per formula unit
Crystal system ... monoclinic
SG ... P2/m

a b c (Å): 3.458 5.966 5.965
angles (deg): 109.39 90.00 90.00
Site moments in Bohr magnetons follow the coordinates.
Positions (direct):
N (0.000, 0.245, 0.750)  -0.06
N (0.000, 0.755, 0.250)  -0.06
N (0.500, 0.755, 0.752)  -0.12
Y (0.500, 0.500, 0.000)  0.09
Er (0.000, 0.500, 0.500)  0.10
N (0.500, 0.245, 0.248)  -0.12
Er (0.500, 0.000, 0.500)  0.10
Pu (0.000, 0.000, 0.000)  4.59